Record 1
Below is a relaxed Zn2FeH crystal, with properties calculated at the PBE-GGA level.

```
data_Zn2FeH
_symmetry_space_group_name_H-M 'P 1'
_symmetry_Int_Tables_number 1
_symmetry_space_group_name_Hall 'P 1'
_cell_length_a 4.028
_cell_length_b 4.028
_cell_length_c 4.028
_cell_angle_alpha 60.00
_cell_angle_beta 60.00
_cell_angle_gamma 60.00
loop_
_atom_site_label
_atom_site_fract_x
_atom_site_fract_y
_atom_site_fract_z
H1 0.000 0.000 0.000
Zn1 0.250 0.250 0.250
Zn2 0.750 0.750 0.750
Fe1 0.500 0.500 0.500
```

Calculated values
**Crystal system**: cubic
**Space group**: No. 225
**Energy above the lowest structure with this stoichiometry**: 799.3 meV/atom

=====

Record 2
Below is a relaxed BaSr3P crystal, with properties calculated at the PBE-GGA level.

```
data_BaSr3P
_symmetry_space_group_name_H-M 'P 1'
_symmetry_Int_Tables_number 1
_symmetry_space_group_name_Hall 'P 1'
_cell_length_a 6.087
_cell_length_b 8.883
_cell_length_c 8.925
_cell_angle_alpha 90.00
_cell_angle_beta 90.00
_cell_angle_gamma 90.00
loop_
_atom_site_label
_atom_site_fract_x
_atom_site_fract_y
_atom_site_fract_z
Ba1 0.500 0.500 0.750
Ba2 0.500 0.500 0.250
Sr1 0.000 0.230 0.500
Sr2 0.501 0.000 0.750
Sr3 0.000 0.770 0.500
Sr4 0.499 0.000 0.250
Sr5 0.000 0.230 0.000
Sr6 0.000 0.770 0.000
P1 0.001 0.000 0.750
P2 0.999 0.000 0.250
```

Calculated values
**Crystal system**: monoclinic
**Space group**: No. 11
**Energy of formation from the pure elements**: -0.48 eV per atom
**Energy above the lowest structure with this stoichiometry**: 2.4 meV/atom

=====

Record 3
Below is a relaxed KBaTi3 crystal, with properties calculated at the PBE-GGA level.

```
data_KBaTi3
_symmetry_space_group_name_H-M 'P 1'
_symmetry_Int_Tables_number 1
_symmetry_space_group_name_Hall 'P 1'
_cell_length_a 5.280
_cell_length_b 5.280
_cell_length_c 5.280
_cell_angle_alpha 90.00
_cell_angle_beta 90.00
_cell_angle_gamma 90.00
loop_
_atom_site_label
_atom_site_fract_x
_atom_site_fract_y
_atom_site_fract_z
Ti1 0.500 0.000 0.000
Ti2 0.000 0.000 0.500
Ti3 0.000 0.500 0.000
Ba1 0.000 0.000 0.000
K1 0.500 0.500 0.500
```

Calculated values
**Crystal system**: cubic
**Space group**: No. 221
**Energy of formation from the pure elements**: 1.82 eV per atom
**Energy above the lowest structure with this stoichiometry**: 0.0 meV/atom

=====

Record 4
Below is a relaxed BaBeBSb2 crystal, with properties calculated at the PBE-GGA level.

```
data_BaBeBSb2
_symmetry_space_group_name_H-M 'P 1'
_symmetry_Int_Tables_number 1
_symmetry_space_group_name_Hall 'P 1'
_cell_length_a 6.302
_cell_length_b 6.302
_cell_length_c 5.162
_cell_angle_alpha 90.00
_cell_angle_beta 90.00
_cell_angle_gamma 90.00
loop_
_atom_site_label
_atom_site_fract_x
_atom_site_fract_y
_atom_site_fract_z
Sb1 0.500 0.000 0.000
Sb2 0.000 0.500 0.000
Ba1 0.000 0.000 0.000
Be1 0.500 0.500 0.500
B1 0.000 0.000 0.500
```

Calculated values
**Crystal system**: tetragonal
**Space group**: No. 123
**Uncorrected formation energy**: 2.08 eV per atom

=====

Record 5
Below is a relaxed Ce2Ga6Ir crystal, with properties calculated at the PBE-GGA level.

```
data_Ce2Ga6Ir
_symmetry_space_group_name_H-M 'P 1'
_symmetry_Int_Tables_number 1
_symmetry_space_group_name_Hall 'P 1'
_cell_length_a 5.516
_cell_length_b 6.016
_cell_length_c 6.016
_cell_angle_alpha 60.00
_cell_angle_beta 89.99
_cell_angle_gamma 89.99
loop_
_atom_site_label
_atom_site_fract_x
_atom_site_fract_y
_atom_site_fract_z
Ga1 0.686 0.176 0.647
Ga2 0.314 0.353 0.824
Ga3 0.686 0.176 0.176
Ga4 0.314 0.824 0.353
Ga5 0.686 0.647 0.176
Ga6 0.314 0.824 0.824
Ce1 0.810 0.667 0.667
Ce2 0.190 0.333 0.333
Ir1 0.000 0.000 0.000
```

Calculated values
**Crystal system**: trigonal
**Space group**: No. 164
**Energy of formation from the pure elements**: -0.59 eV per atom
**Energy above the lowest structure with this stoichiometry**: 25.3 meV/atom

=====

Record 6
Below is a relaxed Sc5Tl2Ru crystal, with properties calculated at the PBE-GGA level.

```
data_Sc5Tl2Ru
_symmetry_space_group_name_H-M 'P 1'
_symmetry_Int_Tables_number 1
_symmetry_space_group_name_Hall 'P 1'
_cell_length_a 4.692
_cell_length_b 6.315
_cell_length_c 11.835
_cell_angle_alpha 90.00
_cell_angle_beta 90.00
_cell_angle_gamma 90.00
loop_
_atom_site_label
_atom_site_fract_x
_atom_site_fract_y
_atom_site_fract_z
Sc1 0.000 0.888 0.716
Sc2 0.000 0.612 0.216
Sc3 0.000 0.112 0.284
Sc4 0.500 0.669 0.909
Sc5 0.500 0.331 0.091
Sc6 0.000 0.500 0.500
Sc7 0.500 0.169 0.591
Sc8 0.000 0.388 0.784
Sc9 0.000 0.000 0.000
Sc10 0.500 0.831 0.409
Tl1 0.500 0.375 0.346
Tl2 0.500 0.875 0.154
Tl3 0.500 0.125 0.846
Tl4 0.500 0.625 0.654
Ru1 0.000 0.000 0.500
Ru2 0.000 0.500 0.000
```

Calculated values
**Crystal system**: orthorhombic
**Space group**: No. 55
**Energy of formation from the pure elements**: -0.34 eV per atom

=====

Record 7
Below is a relaxed CeGa2CuPd crystal, with properties calculated at the PBE-GGA level.

```
data_CeGa2CuPd
_symmetry_space_group_name_H-M 'P 1'
_symmetry_Int_Tables_number 1
_symmetry_space_group_name_Hall 'P 1'
_cell_length_a 4.320
_cell_length_b 4.320
_cell_length_c 5.891
_cell_angle_alpha 111.51
_cell_angle_beta 111.51
_cell_angle_gamma 90.00
loop_
_atom_site_label
_atom_site_fract_x
_atom_site_fract_y
_atom_site_fract_z
Ga1 0.625 0.625 0.250
Ga2 0.375 0.375 0.750
Cu1 0.750 0.250 0.500
Ce1 0.000 0.000 0.000
Pd1 0.250 0.750 0.500
```

Calculated values
**Crystal system**: tetragonal
**Space group**: No. 119
**Energy of formation from the pure elements**: -0.54 eV per atom

=====

Record 8
Below is a relaxed Ti12Sn6P crystal, with properties calculated at the PBE-GGA level.

```
data_Ti12Sn6P
_symmetry_space_group_name_H-M 'P 1'
_symmetry_Int_Tables_number 1
_symmetry_space_group_name_Hall 'P 1'
_cell_length_a 7.085
_cell_length_b 7.085
_cell_length_c 7.085
_cell_angle_alpha 92.97
_cell_angle_beta 92.97
_cell_angle_gamma 92.97
loop_
_atom_site_label
_atom_site_fract_x
_atom_site_fract_y
_atom_site_fract_z
Sn1 0.296 0.117 0.724
Sn2 0.704 0.883 0.276
Sn3 0.724 0.296 0.117
Sn4 0.117 0.724 0.296
Sn5 0.883 0.276 0.704
Sn6 0.276 0.704 0.883
Ti1 0.540 0.446 0.786
Ti2 0.048 0.137 0.359
Ti3 0.214 0.460 0.554
Ti4 0.554 0.214 0.460
Ti5 0.641 0.952 0.863
Ti6 0.446 0.786 0.540
Ti7 0.137 0.359 0.048
Ti8 0.786 0.540 0.446
Ti9 0.460 0.554 0.214
Ti10 0.359 0.048 0.137
Ti11 0.863 0.641 0.952
Ti12 0.952 0.863 0.641
P1 0.000 0.000 0.000
```

Calculated values
**Crystal system**: trigonal
**Space group**: No. 148
**Energy of formation from the pure elements**: -0.18 eV per atom

=====

M_tot, respectively: 0.00; 0.00; 2.45; 0.00; 0.00; 0.00; 0.83; 0.00 μB/cell.
Total energy, respectively: -2.75; -2.95; -3.52; -2.03; -4.91; -6.05; -4.79; -6.71 eV per atom.
Density of states at the Fermi level, respectively: 5.2; 11.6; 7.4; 6.0; 9.8; 9.6; 7.8; 21.5 states/eV per cell.